No. 1
Here is a geometry-optimized Ta2PbW structure from the Alexandria database. Energies are from PBE-GGA.

Unit cell a=9.2378 b=9.2378 c=9.2378 alpha=19.93 beta=19.93 gamma=19.93
With the nearest neighbours (Å) after each atom.
Sites, in units of the cell vectors:
W  0.2500  0.2500  0.2500  6 Ta 2.72
Ta  0.5100  0.5100  0.5100  3 W 2.72
Ta  0.9900  0.9900  0.9900  3 W 2.72
Pb  0.7500  0.7500  0.7500  6 Ta 3.13, 6 Pb 3.20

Output
Calculated volume in Å³ per cell: 80
DOS at the Fermi energy in states/eV per cell: 3.4
Size of the total moment in μB per cell: 0.0
DFT total energy in eV/cell: -38.50
Energy of formation from the pure elements in eV/atom: 0.47
ρ in g/cm³: 15.60

***

No. 2
Here is a geometry-optimized TbCe2Y3Sb6 structure from the Alexandria database. Energies are from PBE-GGA.

Unit cell a=7.6761 b=7.6761 c=7.6674 alpha=99.61 beta=99.61 gamma=119.99
With the nearest neighbours (Å) after each atom.
Sites, in units of the cell vectors:
Y  0.5000  0.5000  0.5000  6 Sb 3.11-3.13
Y  0.1678  0.8322  0.5000  6 Sb 3.11-3.12
Y  0.8322  0.1678  0.5000  6 Sb 3.11-3.12
Sb  0.4154  0.0843  0.2533  3 Y 3.11-3.12, 1 Tb 3.13, 2 Ce 3.15-3.16
Sb  0.5846  0.9157  0.7467  3 Y 3.11-3.12, 1 Tb 3.13, 2 Ce 3.15-3.16
Sb  0.0843  0.4154  0.2533  3 Y 3.11-3.12, 1 Tb 3.13, 2 Ce 3.15-3.16
Sb  0.7541  0.7541  0.2548  3 Y 3.12-3.13, 1 Tb 3.14, 2 Ce 3.16
Sb  0.9157  0.5846  0.7467  3 Y 3.11-3.12, 1 Tb 3.13, 2 Ce 3.15-3.16
Sb  0.2459  0.2459  0.7452  3 Y 3.12-3.13, 1 Tb 3.14, 2 Ce 3.16
Tb  0.0000  0.0000  0.0000  6 Sb 3.13-3.14
Ce  0.3336  0.6664  0.0000  6 Sb 3.15-3.16
Ce  0.6664  0.3336  0.0000  6 Sb 3.15-3.16

Output
Calculated volume in Å³ per cell: 369
DOS at the Fermi energy in states/eV per cell: 13.4
Size of the total moment in μB per cell: 1.5
DFT total energy in eV/cell: -74.12
ρ in g/cm³: 6.47

***

No. 3
Here is a geometry-optimized Dy15HoEr4 structure from the Alexandria database. Energies are from PBE-GGA.

Unit cell a=4.9873 b=4.9873 c=24.9327 alpha=90.00 beta=90.00 gamma=90.00
With the nearest neighbours (Å) after each atom.
Sites, in units of the cell vectors:
Dy  0.5000  0.5000  0.6000  8 Dy 3.53, 4 Er 3.53
Dy  0.5000  0.5000  0.0000  4 Ho 3.53, 8 Dy 3.53
Dy  0.0000  0.5000  0.1002  2 Er 3.53, 8 Dy 3.53, 2 Ho 3.53
Dy  0.0000  0.5000  0.6999  8 Dy 3.52-3.53, 4 Er 3.52-3.53
Dy  0.5000  0.0000  0.3001  8 Dy 3.52-3.53, 4 Er 3.52-3.53
Dy  0.5000  0.5000  0.4000  8 Dy 3.53, 4 Er 3.53
Dy  0.0000  0.5000  0.8998  2 Er 3.53, 8 Dy 3.53, 2 Ho 3.53
Dy  0.5000  0.5000  0.2002  8 Dy 3.52-3.53, 4 Er 3.53
Dy  0.5000  0.0000  0.5000  8 Dy 3.53, 4 Er 3.53
Dy  0.5000  0.5000  0.7998  8 Dy 3.52-3.53, 4 Er 3.53
Dy  0.0000  0.5000  0.5000  8 Dy 3.53, 4 Er 3.53
Dy  0.5000  0.0000  0.6999  8 Dy 3.52-3.53, 4 Er 3.52-3.53
Dy  0.0000  0.5000  0.3001  8 Dy 3.52-3.53, 4 Er 3.52-3.53
Dy  0.5000  0.0000  0.8998  2 Er 3.53, 8 Dy 3.53, 2 Ho 3.53
Dy  0.5000  0.0000  0.1002  2 Er 3.53, 8 Dy 3.53, 2 Ho 3.53
Ho  0.0000  0.0000  0.0000  12 Dy 3.53
Er  0.0000  0.0000  0.2002  12 Dy 3.52-3.53
Er  0.0000  0.0000  0.6000  12 Dy 3.53
Er  0.0000  0.0000  0.7998  12 Dy 3.52-3.53
Er  0.0000  0.0000  0.4000  12 Dy 3.53

Output
Calculated volume in Å³ per cell: 620
DOS at the Fermi energy in states/eV per cell: 25.7
Size of the total moment in μB per cell: 0.0
DFT total energy in eV/cell: -91.48
Energy of formation from the pure elements in eV/atom: 0.02
ρ in g/cm³: 8.76

***

No. 4
Here is a geometry-optimized Th3Tc2Hg structure from the Alexandria database. Energies are from PBE-GGA.

Unit cell a=3.4992 b=3.4992 c=12.1152 alpha=90.00 beta=90.00 gamma=90.00
With the nearest neighbours (Å) after each atom.
Sites, in units of the cell vectors:
Th  0.0000  0.0000  0.0000  8 Tc 3.11
Th  0.0000  0.0000  0.2977  4 Tc 3.01
Th  0.0000  0.0000  0.7023  4 Tc 3.01
Tc  0.5000  0.5000  0.1561  8 Th 3.01-3.11
Tc  0.5000  0.5000  0.8439  8 Th 3.01-3.11
Hg  0.5000  0.5000  0.5000  8 Th 3.48, 4 Hg 3.50

Output
Calculated volume in Å³ per cell: 148
DOS at the Fermi energy in states/eV per cell: 6.1
Size of the total moment in μB per cell: 0.0
DFT total energy in eV/cell: -44.15
Energy of formation from the pure elements in eV/atom: -0.14
ρ in g/cm³: 12.23
Distance to the lowest polymorph of the same formula in eV/atom: 0.0040

***

No. 5
Here is a geometry-optimized Cs2HgCl structure from the Alexandria database. Energies are from PBE-GGA.

Unit cell a=6.3504 b=6.3504 c=6.3504 alpha=60.00 beta=60.00 gamma=60.00
With the nearest neighbours (Å) after each atom.
Sites, in units of the cell vectors:
Cl  0.0000  0.0000  0.0000  8 Cs 3.89
Cs  0.7500  0.7500  0.7500  4 Cl 3.89, 4 Hg 3.89
Cs  0.2500  0.2500  0.2500  4 Hg 3.89, 4 Cl 3.89
Hg  0.5000  0.5000  0.5000  8 Cs 3.89

Output
Calculated volume in Å³ per cell: 181
DOS at the Fermi energy in states/eV per cell: 4.6
Size of the total moment in μB per cell: 0.0
DFT total energy in eV/cell: -7.35
ρ in g/cm³: 4.60
Distance to the lowest polymorph of the same formula in eV/atom: 0.1985

***

No. 6
Here is a geometry-optimized MgTiSnBr2 structure from the Alexandria database. Energies are from PBE-GGA.

Unit cell a=5.7069 b=5.6833 c=5.7069 alpha=90.00 beta=90.00 gamma=90.00
With the nearest neighbours (Å) after each atom.
Sites, in units of the cell vectors:
Br  0.0000  0.0000  0.5000  2 Sn 2.85
Br  0.5000  0.0000  0.0000  2 Sn 2.85
Ti  0.0000  0.5000  0.0000  2 Sn 2.84
Mg  0.5000  0.5000  0.5000  8 Br 4.03, 4 Ti 4.04
Sn  0.0000  0.0000  0.0000  2 Ti 2.84, 4 Br 2.85

Output
Calculated volume in Å³ per cell: 185
DOS at the Fermi energy in states/eV per cell: 7.3
Size of the total moment in μB per cell: 2.3
DFT total energy in eV/cell: -14.99
ρ in g/cm³: 3.15